(P)
Entry from Alexandria via LeMat-Bulk: a relaxed structure of BaMg2Ni2 (PBE).

Structure (POSCAR):
```
BaMg2Ni2
1.0
-0.383 -4.156 1.299
3.253 0.594 2.858
-2.350 -0.189 6.057
Ni Mg Ba
2 2 1
direct
0.606 0.606 0.789
0.394 0.394 0.211
0.750 0.250 0.500
0.250 0.750 0.500
0.000 0.000 0.000
```

Properties
Magnetic moment in μB/f.u.: 0.000

***

(Q)
Entry from Alexandria via LeMat-Bulk: a relaxed structure of BaMg2Ni2 (PBE).

Structure (POSCAR):
```
BaMg2Ni2
1.0
8.018 0.000 0.000
0.000 8.018 0.000
0.000 0.000 3.099
Ni Mg Ba
4 4 2
direct
0.659 0.159 0.000
0.841 0.659 0.000
0.159 0.341 0.000
0.341 0.841 0.000
0.372 0.128 0.500
0.128 0.628 0.500
0.872 0.372 0.500
0.628 0.872 0.500
0.500 0.500 0.000
0.000 0.000 0.000
```

Properties
Magnetic moment in μB/f.u.: 0.076

***

Result of the stability comparison: (P) is the most stable of them.

***

(P)
Entry from Alexandria via LeMat-Bulk: a relaxed structure of BaMgNi3 (PBE).

Structure (POSCAR):
```
BaMgNi3
1.0
4.971 0.000 0.000
0.000 4.971 0.000
0.000 0.000 4.971
Ni Ba Mg
3 1 1
direct
0.000 0.500 0.000
0.500 0.000 0.000
0.000 0.000 0.500
0.000 0.000 0.000
0.500 0.500 0.500
```

Properties
Magnetic moment in μB/f.u.: 0.000

***

(Q)
Entry from Alexandria via LeMat-Bulk: a relaxed structure of BaMgNi3 (PBE).

Structure (POSCAR):
```
BaMgNi3
1.0
4.711 0.000 0.000
0.000 4.711 0.000
0.000 0.000 4.711
Ba Ni Mg
1 3 1
direct
0.500 0.500 0.500
0.500 0.000 0.000
0.000 0.000 0.500
0.000 0.500 0.000
0.000 0.000 0.000
```

Properties
Magnetic moment in μB/f.u.: 0.000

***

Result of the stability comparison: (Q) is the most stable of them.